[1]
A relaxed Rb2Y2SnO6 crystal, computed with PBE.

Lattice parameters (Å, degrees): 5.892 5.892 6.957 97.89 97.89 119.70
Fractional coordinates of all 11 atoms:
Rb 0.166 0.834 0.000
Rb 0.834 0.166 0.000
Y 0.335 0.665 0.500
Y 0.665 0.335 0.500
Sn 0.000 0.000 0.500
O 0.049 0.367 0.665
O 0.254 0.254 0.335
O 0.367 0.049 0.665
O 0.633 0.951 0.335
O 0.746 0.746 0.665
O 0.951 0.633 0.335

- V: 201.8 Å³ per cell
- Total DFT energy (no corrections): -75.26 eV/cell
- D(E_F): 0.0 states/eV/f.u.
- M_tot: 0.00 μB per formula unit



[2]
A relaxed Rb3Y2SnO6 crystal, computed with PBE.

Lattice parameters (Å, degrees): 6.099 6.099 6.866 98.49 98.49 120.01
Fractional coordinates of all 12 atoms:
Rb 0.000 0.000 0.000
Rb 0.336 0.664 0.000
Rb 0.664 0.336 0.000
Y 0.167 0.833 0.500
Y 0.833 0.167 0.500
Sn 0.500 0.500 0.500
O 0.104 0.441 0.322
O 0.223 0.223 0.678
O 0.441 0.104 0.322
O 0.559 0.896 0.678
O 0.777 0.777 0.322
O 0.896 0.559 0.678

- V: 211.3 Å³ per cell
- Total DFT energy (no corrections): -75.78 eV/cell
- D(E_F): 5.0 states/eV/f.u.
- M_tot: 0.47 μB per formula unit



[3]
A relaxed RbZn3Sn4O12 crystal, computed with PBE.

Lattice parameters (Å, degrees): 6.819 6.819 6.819 109.47 109.47 109.47
Fractional coordinates of all 20 atoms:
Rb 0.000 0.000 0.000
Zn 0.000 0.500 0.500
Zn 0.500 0.000 0.500
Zn 0.500 0.500 0.000
Sn 0.000 0.000 0.500
Sn 0.000 0.500 0.000
Sn 0.500 0.000 0.000
Sn 0.500 0.500 0.500
O 0.134 0.317 0.817
O 0.183 0.500 0.317
O 0.183 0.866 0.683
O 0.317 0.183 0.500
O 0.317 0.817 0.134
O 0.500 0.317 0.183
O 0.500 0.683 0.817
O 0.683 0.183 0.866
O 0.683 0.817 0.500
O 0.817 0.134 0.317
O 0.817 0.500 0.683
O 0.866 0.683 0.183

- V: 244.1 Å³ per cell
- Total DFT energy (no corrections): -108.51 eV/cell
- D(E_F): 13.9 states/eV/f.u.
- M_tot: 1.07 μB per formula unit



[4]
A relaxed Rb2ZnSnO4 crystal, computed with PBE.

Lattice parameters (Å, degrees): 5.907 5.907 5.907 117.98 117.98 93.53
Fractional coordinates of all 8 atoms:
Rb 0.000 0.000 0.000
Rb 0.750 0.250 0.500
Zn 0.500 0.500 0.000
Sn 0.250 0.750 0.500
O 0.248 0.125 0.613
O 0.365 0.752 0.876
O 0.512 0.635 0.387
O 0.875 0.488 0.124

- V: 149.9 Å³ per cell
- Total DFT energy (no corrections): -39.19 eV/cell
- D(E_F): 0.0 states/eV/f.u.
- M_tot: 0.00 μB per formula unit



[5]
A relaxed Rb2ZrSnO6 crystal, computed with PBE.

Lattice parameters (Å, degrees): 5.992 5.992 5.992 60.00 60.00 60.00
Fractional coordinates of all 10 atoms:
Rb 0.250 0.250 0.250
Rb 0.750 0.750 0.750
Zr 0.000 0.000 0.000
Sn 0.500 0.500 0.500
O 0.251 0.251 0.749
O 0.251 0.749 0.251
O 0.251 0.749 0.749
O 0.749 0.251 0.251
O 0.749 0.251 0.749
O 0.749 0.749 0.251

- V: 152.2 Å³ per cell
- Total DFT energy (no corrections): -62.34 eV/cell
- D(E_F): 7.5 states/eV/f.u.
- M_tot: 2.04 μB per formula unit



[6]
A relaxed RbSrO crystal, computed with PBE.

Lattice parameters (Å, degrees): 3.920 3.920 7.387 90.00 90.00 120.00
Fractional coordinates of all 3 atoms:
Rb 0.000 0.000 0.000
Sr 0.333 0.667 0.413
O 0.667 0.333 0.283

- V: 98.3 Å³ per cell
- Total DFT energy (no corrections): -12.18 eV/cell
- D(E_F): 0.8 states/eV/f.u.
- M_tot: 0.00 μB per formula unit



[7]
A relaxed RbSr2O crystal, computed with PBE.

Lattice parameters (Å, degrees): 8.006 8.006 8.006 120.07 120.07 89.87
Fractional coordinates of all 8 atoms:
Rb 0.375 0.625 0.750
Rb 0.625 0.375 0.250
Sr 0.000 0.000 0.000
Sr 0.000 0.000 0.500
Sr 0.000 0.500 0.000
Sr 0.500 0.000 0.500
O 0.125 0.875 0.250
O 0.875 0.125 0.750

- V: 362.4 Å³ per cell
- Total DFT energy (no corrections): -28.25 eV/cell
- D(E_F): 3.0 states/eV/f.u.
- M_tot: 0.00 μB per formula unit



[8]
A relaxed RbSr2O crystal, computed with PBE.

Lattice parameters (Å, degrees): 11.381 11.381 11.381 19.79 19.79 19.79
Fractional coordinates of all 4 atoms:
Rb 0.000 0.000 0.000
Sr 0.122 0.122 0.122
Sr 0.878 0.878 0.878
O 0.500 0.500 0.500

- V: 147.7 Å³ per cell
- Total DFT energy (no corrections): -13.60 eV/cell
- D(E_F): 2.2 states/eV/f.u.
- M_tot: 0.00 μB per formula unit



[9]
A relaxed RbSrO2 crystal, computed with PBE.

Lattice parameters (Å, degrees): 7.201 7.201 7.201 129.62 129.62 74.02
Fractional coordinates of all 8 atoms:
Rb 0.000 0.000 0.000
Rb 0.750 0.250 0.500
Sr 0.250 0.750 0.500
Sr 0.500 0.500 0.000
O 0.185 0.625 0.060
O 0.375 0.435 0.560
O 0.565 0.125 0.940
O 0.875 0.815 0.440

- V: 216.1 Å³ per cell
- Total DFT energy (no corrections): -37.42 eV/cell
- D(E_F): 9.0 states/eV/f.u.
- M_tot: 1.00 μB per formula unit



[10]
A relaxed Rb3SrO8 crystal, computed with PBE.

Lattice parameters (Å, degrees): 6.960 6.960 6.960 114.16 114.16 100.45
Fractional coordinates of all 12 atoms:
Rb 0.000 0.000 0.000
Rb 0.250 0.750 0.500
Rb 0.750 0.250 0.500
Sr 0.500 0.500 0.000
O 0.135 0.135 0.676
O 0.199 0.199 0.538
O 0.339 0.801 0.000
O 0.458 0.458 0.324
O 0.542 0.865 0.000
O 0.661 0.661 0.462
O 0.801 0.339 0.000
O 0.865 0.542 0.000

- V: 254.8 Å³ per cell
- Total DFT energy (no corrections): -56.80 eV/cell
- D(E_F): 12.2 states/eV/f.u.
- M_tot: 3.02 μB per formula unit



[11]
A relaxed RbSr2O2 crystal, computed with PBE.

Lattice parameters (Å, degrees): 7.819 7.819 7.819 144.92 144.92 50.45
Fractional coordinates of all 5 atoms:
Rb 0.000 0.000 0.000
Sr 0.299 0.299 0.000
Sr 0.701 0.701 0.000
O 0.250 0.750 0.500
O 0.750 0.250 0.500

- V: 157.1 Å³ per cell
- Total DFT energy (no corrections): -23.77 eV/cell
- D(E_F): 1.2 states/eV/f.u.
- M_tot: 0.00 μB per formula unit



[12]
A relaxed Rb2SrO crystal, computed with PBE.

Lattice parameters (Å, degrees): 8.272 8.272 8.272 116.52 116.52 96.13
Fractional coordinates of all 8 atoms:
Rb 0.375 0.051 0.176
Rb 0.801 0.625 0.676
Rb 0.875 0.199 0.824
Rb 0.949 0.125 0.324
Sr 0.250 0.750 0.500
Sr 0.500 0.500 0.000
O 0.000 0.000 0.000
O 0.750 0.250 0.500

- V: 418.6 Å³ per cell
- Total DFT energy (no corrections): -19.79 eV/cell
- D(E_F): 0.9 states/eV/f.u.
- M_tot: 0.00 μB per formula unit



[13]
A relaxed RbSrO2 crystal, computed with PBE.

Lattice parameters (Å, degrees): 7.089 7.089 7.089 30.82 30.82 30.82
Fractional coordinates of all 4 atoms:
Rb 0.000 0.000 0.000
Sr 0.171 0.171 0.171
O 0.569 0.569 0.569
O 0.771 0.771 0.771

- V: 83.0 Å³ per cell
- Total DFT energy (no corrections): -19.17 eV/cell
- D(E_F): 5.5 states/eV/f.u.
- M_tot: 1.00 μB per formula unit



[14]
A relaxed Rb2SrO2 crystal, computed with PBE.

Lattice parameters (Å, degrees): 6.826 6.826 10.342 90.00 90.00 148.78
Fractional coordinates of all 10 atoms:
Rb 0.115 0.885 0.500
Rb 0.370 0.630 0.688
Rb 0.630 0.370 0.188
Rb 0.885 0.115 0.000
Sr 0.371 0.629 0.342
Sr 0.629 0.371 0.842
O 0.020 0.980 0.763
O 0.232 0.768 0.940
O 0.768 0.232 0.440
O 0.980 0.020 0.263

- V: 249.8 Å³ per cell
- Total DFT energy (no corrections): -42.06 eV/cell
- M_tot: 0.00 μB per formula unit



[15]
A relaxed RbSrO2 crystal, computed with PBE.

Lattice parameters (Å, degrees): 4.631 4.631 4.631 60.00 60.00 60.00
Fractional coordinates of all 4 atoms:
Rb 0.000 0.000 0.000
Sr 0.500 0.500 0.500
O 0.250 0.250 0.250
O 0.750 0.750 0.750

- V: 70.2 Å³ per cell
- Total DFT energy (no corrections): -18.08 eV/cell
- D(E_F): 5.9 states/eV/f.u.
- M_tot: 1.00 μB per formula unit



[16]
A relaxed Rb3Sr2TaO6 crystal, computed with PBE.

Lattice parameters (Å, degrees): 6.205 6.205 6.789 98.75 98.75 119.98
Fractional coordinates of all 12 atoms:
Rb 0.000 0.000 0.000
Rb 0.334 0.666 0.000
Rb 0.666 0.334 0.000
Sr 0.167 0.833 0.500
Sr 0.833 0.167 0.500
Ta 0.500 0.500 0.500
O 0.166 0.441 0.323
O 0.285 0.285 0.678
O 0.441 0.166 0.323
O 0.559 0.834 0.677
O 0.715 0.715 0.322
O 0.834 0.559 0.677

- V: 215.7 Å³ per cell
- Total DFT energy (no corrections): -75.99 eV/cell
- D(E_F): 0.0 states/eV/f.u.
- M_tot: 0.00 μB per formula unit



[17]
A relaxed RbSrTa2O7 crystal, computed with PBE.

Lattice parameters (Å, degrees): 12.194 12.194 12.194 161.22 161.22 26.68
Fractional coordinates of all 11 atoms:
Rb 0.000 0.000 0.000
Sr 0.250 0.750 0.500
Ta 0.656 0.156 0.500
Ta 0.844 0.344 0.500
O 0.170 0.170 0.000
O 0.329 0.329 0.000
O 0.580 0.080 0.500
O 0.671 0.671 0.000
O 0.750 0.250 0.500
O 0.830 0.830 0.000
O 0.920 0.420 0.500

- V: 187.8 Å³ per cell
- Total DFT energy (no corrections): -89.90 eV/cell
- D(E_F): 5.7 states/eV/f.u.
- M_tot: 0.00 μB per formula unit



[18]
A relaxed Rb2SrTaO4 crystal, computed with PBE.

Lattice parameters (Å, degrees): 6.841 6.841 6.841 126.56 126.56 78.97
Fractional coordinates of all 8 atoms:
Rb 0.000 0.000 0.000
Rb 0.750 0.250 0.500
Sr 0.500 0.500 0.000
Ta 0.250 0.750 0.500
O 0.228 0.070 0.593
O 0.365 0.772 0.842
O 0.477 0.635 0.407
O 0.930 0.523 0.158

- V: 199.8 Å³ per cell
- Total DFT energy (no corrections): -53.41 eV/cell
- D(E_F): 0.8 states/eV/f.u.
- M_tot: 0.00 μB per formula unit



[19]
A relaxed Rb3SrTa2O8 crystal, computed with PBE.

Lattice parameters (Å, degrees): 6.454 6.454 8.216 90.00 90.00 120.00
Fractional coordinates of all 14 atoms:
Rb 0.000 0.000 0.000
Rb 0.333 0.667 0.675
Rb 0.667 0.333 0.325
Sr 0.000 0.000 0.500
Ta 0.333 0.667 0.230
Ta 0.667 0.333 0.770
O 0.177 0.354 0.312
O 0.177 0.823 0.312
O 0.333 0.667 0.003
O 0.354 0.177 0.688
O 0.646 0.823 0.312
O 0.667 0.333 0.997
O 0.823 0.177 0.688
O 0.823 0.646 0.688

- V: 296.4 Å³ per cell
- Total DFT energy (no corrections): -101.46 eV/cell
- D(E_F): 14.0 states/eV/f.u.
- M_tot: 1.12 μB per formula unit



[20]
A relaxed Rb2Sr2TaO6 crystal, computed with PBE.

Lattice parameters (Å, degrees): 6.132 6.132 6.908 98.48 98.48 118.83
Fractional coordinates of all 11 atoms:
Rb 0.165 0.835 0.000
Rb 0.835 0.165 0.000
Sr 0.338 0.662 0.500
Sr 0.662 0.338 0.500
Ta 0.000 0.000 0.500
O 0.048 0.328 0.668
O 0.214 0.214 0.329
O 0.328 0.048 0.668
O 0.672 0.952 0.332
O 0.786 0.786 0.671
O 0.952 0.672 0.332

- V: 217.8 Å³ per cell
- Total DFT energy (no corrections): -72.55 eV/cell
- D(E_F): 7.3 states/eV/f.u.
- M_tot: 1.11 μB per formula unit



[21]
A relaxed Rb3Sr2TcO6 crystal, computed with PBE.

Lattice parameters (Å, degrees): 6.170 6.170 6.757 98.76 98.76 119.93
Fractional coordinates of all 12 atoms:
Rb 0.000 0.000 0.000
Rb 0.336 0.664 0.000
Rb 0.664 0.336 0.000
Sr 0.167 0.833 0.500
Sr 0.833 0.167 0.500
Tc 0.500 0.500 0.500
O 0.167 0.440 0.322
O 0.283 0.283 0.680
O 0.440 0.167 0.322
O 0.560 0.833 0.678
O 0.717 0.717 0.320
O 0.833 0.560 0.678

- V: 212.3 Å³ per cell
- Total DFT energy (no corrections): -68.35 eV/cell
- D(E_F): 8.4 states/eV/f.u.
- M_tot: 2.00 μB per formula unit



[22]
A relaxed Rb3SrTc2O8 crystal, computed with PBE.

Lattice parameters (Å, degrees): 6.345 6.345 8.136 90.00 90.00 120.00
Fractional coordinates of all 14 atoms:
Rb 0.000 0.000 0.000
Rb 0.333 0.667 0.673
Rb 0.667 0.333 0.327
Sr 0.000 0.000 0.500
Tc 0.333 0.667 0.225
Tc 0.667 0.333 0.775
O 0.179 0.359 0.313
O 0.179 0.821 0.313
O 0.333 0.667 0.007
O 0.359 0.179 0.687
O 0.641 0.821 0.313
O 0.667 0.333 0.993
O 0.821 0.179 0.687
O 0.821 0.641 0.687

- V: 283.7 Å³ per cell
- Total DFT energy (no corrections): -90.17 eV/cell
- D(E_F): 9.7 states/eV/f.u.
- M_tot: 3.00 μB per formula unit